(1)
## Sr2ZrCo (PBE-GGA)

Data for an optimized crystal structure of Sr2ZrCo.

Structure (CIF):
```
data_Sr2ZrCo
_chemical_formula_sum 'Sr8 Zr4 Co4'
_cell_length_a 7.6944
_cell_length_b 7.6944
_cell_length_c 7.6944
_cell_angle_alpha 90.00
_cell_angle_beta 90.00
_cell_angle_gamma 90.00
_symmetry_space_group_name_H-M 'F m -3 m'
_symmetry_Int_Tables_number 225
_symmetry_space_group_name_Hall '-F 4 2 3'
loop_
_atom_site_label
_atom_site_type_symbol
_atom_site_fract_x
_atom_site_fract_y
_atom_site_fract_z
Sr1 Sr 0.2500 0.2500 0.2500
Zr1 Zr 0.0000 0.0000 0.0000
Co1 Co 0.0000 0.0000 0.5000
```

Values from the calculation:
As for the density of states at the Fermi level: 11.7 states/eV/f.u. As for the calculated total energy: -3.727 eV/atom. Its formation energy is 1.0273 eV per atom. For the magnetic moment, the calculation gives 2.9 μB per formula unit.


(2)
## BeTeSe2O (PBE-GGA)

Data for an optimized crystal structure of BeTeSe2O.

Structure (CIF):
```
data_BeTeSe2O
_chemical_formula_sum 'Be1 Te1 Se2 O1'
_cell_length_a 5.3900
_cell_length_b 5.3900
_cell_length_c 4.6073
_cell_angle_alpha 90.00
_cell_angle_beta 90.00
_cell_angle_gamma 90.00
_symmetry_space_group_name_H-M 'P 4/m m m'
_symmetry_Int_Tables_number 123
_symmetry_space_group_name_Hall '-P 4 2'
loop_
_atom_site_label
_atom_site_type_symbol
_atom_site_fract_x
_atom_site_fract_y
_atom_site_fract_z
Be1 Be 0.0000 0.0000 0.0000
Te1 Te 0.0000 0.0000 0.5000
Se1 Se 0.0000 0.5000 0.5000
O1 O 0.5000 0.5000 0.0000
```

Values from the calculation:
As for the density of states at the Fermi level: 6.3 states/eV/f.u. As for the calculated total energy: -2.496 eV/atom. The formation energy from raw total energies is 1.26 eV per atom. For the magnetic moment, the calculation gives 0.5 μB per formula unit.


(3)
## MoPb2W (PBE-GGA)

Data for an optimized crystal structure of MoPb2W.

Structure (CIF):
```
data_MoPb2W
_chemical_formula_sum 'Mo1 Pb2 W1'
_cell_length_a 3.1054
_cell_length_b 4.6287
_cell_length_c 5.7548
_cell_angle_alpha 90.00
_cell_angle_beta 96.60
_cell_angle_gamma 90.00
_symmetry_space_group_name_H-M 'P 1 2/m 1'
_symmetry_Int_Tables_number 10
loop_
_symmetry_equiv_pos_as_xyz
'x,y,z'
'-x,-y,-z'
'-x,y,-z'
'x,-y,z'
loop_
_atom_site_label
_atom_site_type_symbol
_atom_site_fract_x
_atom_site_fract_y
_atom_site_fract_z
Mo1 Mo 0.0000 0.0000 0.0000
Pb1 Pb 0.2524 0.5000 0.7510
W1 W 0.5000 0.0000 0.5000
```

Values from the calculation:
As for the density of states at the Fermi level: 4.6 states/eV/f.u. As for the calculated total energy: -6.682 eV/atom. Its formation energy is 1.1186 eV per atom. For the magnetic moment, the calculation gives 0.0 μB per formula unit.


(4)
## Tb3CeY2Se6 (PBE-GGA)

Data for an optimized crystal structure of Tb3CeY2Se6.

Structure (CIF):
```
data_Tb3CeY2Se6
_chemical_formula_sum 'Tb6 Ce2 Y4 Se12'
_cell_length_a 17.9107
_cell_length_b 4.0944
_cell_length_c 8.2658
_cell_angle_alpha 90.00
_cell_angle_beta 103.25
_cell_angle_gamma 90.00
_symmetry_space_group_name_H-M 'C 1 2/m 1'
_symmetry_Int_Tables_number 12
loop_
_symmetry_equiv_pos_as_xyz
'x,y,z'
'-x,-y,-z'
'-x,y,-z'
'x,-y,z'
'x+1/2,y+1/2,z'
'-x+1/2,-y+1/2,-z'
'-x+1/2,y+1/2,-z'
'x+1/2,-y+1/2,z'
loop_
_atom_site_label
_atom_site_type_symbol
_atom_site_fract_x
_atom_site_fract_y
_atom_site_fract_z
Tb1 Tb 0.0000 0.0000 0.0000
Tb2 Tb 0.1645 0.5000 0.3341
Ce1 Ce 0.0000 0.0000 0.5000
Y1 Y 0.1645 0.5000 0.8288
Se1 Se 0.9996 0.5000 0.2428
Se2 Se 0.1681 0.0000 0.0825
Se3 Se 0.1701 0.0000 0.5852
```

Values from the calculation:
As for the density of states at the Fermi level: 10.9 states/eV/f.u. As for the calculated total energy: -6.254 eV/atom. The formation energy from raw total energies is -1.78 eV per atom. For the magnetic moment, the calculation gives 1.1 μB per formula unit.


(5)
## PaI5Br (PBE-GGA)

Data for an optimized crystal structure of PaI5Br.

Structure (CIF):
```
data_PaI5Br
_chemical_formula_sum 'Pa2 I10 Br2'
_cell_length_a 5.9983
_cell_length_b 12.6782
_cell_length_c 10.3789
_cell_angle_alpha 90.00
_cell_angle_beta 90.00
_cell_angle_gamma 90.00
_symmetry_space_group_name_H-M 'I m m 2'
_symmetry_Int_Tables_number 44
loop_
_symmetry_equiv_pos_as_xyz
'x,y,z'
'-x,-y,z'
'-x,y,z'
'x,-y,z'
'x+1/2,y+1/2,z+1/2'
'-x+1/2,-y+1/2,z+1/2'
'-x+1/2,y+1/2,z+1/2'
'x+1/2,-y+1/2,z+1/2'
loop_
_atom_site_label
_atom_site_type_symbol
_atom_site_fract_x
_atom_site_fract_y
_atom_site_fract_z
Pa1 Pa 0.0000 0.0000 0.0000
I1 I 0.0000 0.0000 0.2802
I2 I 0.0000 0.2283 0.9924
I3 I 0.2504 0.0000 0.7350
Br1 Br 0.0000 0.5000 0.5552
```

Values from the calculation:
As for the density of states at the Fermi level: 1.9 states/eV/f.u. As for the calculated total energy: -3.514 eV/atom. The formation energy from raw total energies is -0.81 eV per atom. For the magnetic moment, the calculation gives 0.0 μB per formula unit.


(6)
## Mn2ZnMo (PBE-GGA)

Data for an optimized crystal structure of Mn2ZnMo.

Structure (CIF):
```
data_Mn2ZnMo
_chemical_formula_sum 'Mn6 Zn3 Mo3'
_cell_length_a 2.6882
_cell_length_b 2.6882
_cell_length_c 26.6719
_cell_angle_alpha 90.00
_cell_angle_beta 90.00
_cell_angle_gamma 120.00
_symmetry_space_group_name_H-M 'R -3 m'
_symmetry_Int_Tables_number 166
_symmetry_space_group_name_Hall '-R 3 2"'
loop_
_atom_site_label
_atom_site_type_symbol
_atom_site_fract_x
_atom_site_fract_y
_atom_site_fract_z
Mn1 Mn 0.0000 0.0000 0.2484
Zn1 Zn 0.0000 0.0000 0.5000
Mo1 Mo 0.0000 0.0000 0.0000
```

Values from the calculation:
As for the density of states at the Fermi level: 2.8 states/eV/f.u. As for the calculated total energy: -7.354 eV/atom. Its formation energy is 0.2575 eV per atom. For the magnetic moment, the calculation gives 4.9 μB per formula unit.